[1]
Material: Na3TcSb
Method: DFT, PBE
State: relaxed

- crystal system = cubic
- formation energy (no corrections) (kJ/mol of atoms) = 114
- SG = No. 221
- Fermi-level density of states (states/eV/atom) = 1.04

abc: 5.5831 5.5831 5.5831
angles: 90.00 90.00 90.00
Fractional positions:
Na1 0.0000 0.0000 0.5000
Na2 0.0000 0.5000 0.0000
Na3 0.5000 0.0000 0.0000
Tc1 0.0000 0.0000 0.0000
Sb1 0.5000 0.5000 0.5000

[2]
Material: Pr3ThSe6
Method: DFT, PBE
State: relaxed

- crystal system = monoclinic
- formation energy (no corrections) (kJ/mol of atoms) = -160
- SG = No. 12
- Fermi-level density of states (states/eV/atom) = 0.41

abc: 7.7296 7.7296 7.2909
angles: 117.69 117.69 63.45
Fractional positions:
Pr1 0.0000 0.0000 0.0000
Pr2 0.2488 0.2488 0.8170
Pr3 0.7512 0.7512 0.1830
Th1 0.5000 0.5000 0.5000
Se1 0.1660 0.6590 0.1640
Se2 0.2545 0.2545 0.4195
Se3 0.3410 0.8340 0.8360
Se4 0.6590 0.1660 0.1640
Se5 0.7455 0.7455 0.5805
Se6 0.8340 0.3410 0.8360

[3]
Material: CuGe2O4
Method: DFT, PBE
State: relaxed

- crystal system = tetragonal
- formation energy (no corrections) (kJ/mol of atoms) = -100
- SG = No. 121
- Fermi-level density of states (states/eV/atom) = 0.30

abc: 4.4806 4.4806 9.8566
angles: 90.00 90.00 90.00
Fractional positions:
Cu1 0.0000 0.0000 0.0000
Cu2 0.5000 0.5000 0.5000
Ge1 0.0000 0.5000 0.2500
Ge2 0.0000 0.5000 0.7500
Ge3 0.5000 0.0000 0.2500
Ge4 0.5000 0.0000 0.7500
O1 0.2355 0.2355 0.1503
O2 0.2355 0.7645 0.8497
O3 0.2645 0.2645 0.6503
O4 0.2645 0.7355 0.3497
O5 0.7355 0.2645 0.3497
O6 0.7355 0.7355 0.6503
O7 0.7645 0.2355 0.8497
O8 0.7645 0.7645 0.1503

[4]
Material: Li2TlTe
Method: DFT, PBE
State: relaxed

- crystal system = monoclinic
- formation energy (no corrections) (kJ/mol of atoms) = -52
- SG = No. 12
- Fermi-level density of states (states/eV/atom) = 0.30

abc: 7.8747 4.2779 6.2788
angles: 90.00 106.74 90.00
Fractional positions:
Li1 0.2164 0.0000 0.1705
Li2 0.2836 0.5000 0.8295
Li3 0.7164 0.5000 0.1705
Li4 0.7836 0.0000 0.8295
Tl1 0.0000 0.0000 0.5000
Tl2 0.5000 0.5000 0.5000
Te1 0.0000 0.5000 0.0000
Te2 0.5000 0.0000 0.0000

[5]
Material: BeNiPd
Method: DFT, PBE
State: relaxed

- crystal system = tetragonal
- SG = No. 107
- calculated formation energy (eV per atom) = -0.354
- Fermi-level density of states (states/eV/atom) = 0.30

abc: 2.6941 2.6941 9.2457
angles: 90.00 90.00 90.00
Fractional positions:
Be1 0.0000 0.0000 0.0000
Be2 0.5000 0.5000 0.5000
Ni1 0.0000 0.0000 0.6343
Ni2 0.5000 0.5000 0.1343
Pd1 0.0000 0.0000 0.3394
Pd2 0.5000 0.5000 0.8394

[6]
Material: LiAlHgSb
Method: DFT, PBE
State: relaxed

- crystal system = cubic
- formation energy (no corrections) (kJ/mol of atoms) = -6
- SG = No. 216
- Fermi-level density of states (states/eV/atom) = 0.99

abc: 7.0430 7.0430 7.0430
angles: 90.00 90.00 90.00
Fractional positions:
Li1 0.0000 0.0000 0.0000
Li2 0.0000 0.5000 0.5000
Li3 0.5000 0.0000 0.5000
Li4 0.5000 0.5000 0.0000
Al1 0.0000 0.0000 0.5000
Al2 0.0000 0.5000 0.0000
Al3 0.5000 0.0000 0.0000
Al4 0.5000 0.5000 0.5000
Hg1 0.2500 0.2500 0.7500
Hg2 0.2500 0.7500 0.2500
Hg3 0.7500 0.2500 0.2500
Hg4 0.7500 0.7500 0.7500
Sb1 0.2500 0.2500 0.2500
Sb2 0.2500 0.7500 0.7500
Sb3 0.7500 0.2500 0.7500
Sb4 0.7500 0.7500 0.2500

[7]
Material: RbAcPd
Method: DFT, PBE
State: relaxed

- crystal system = monoclinic
- SG = No. 12
- calculated formation energy (eV per atom) = -0.446
- Fermi-level density of states (states/eV/atom) = 0.60

abc: 6.2187 6.2196 14.3368
angles: 90.00 90.40 90.00
Fractional positions:
Rb1 0.2424 0.0000 0.1464
Rb2 0.2576 0.5000 0.8536
Rb3 0.7424 0.5000 0.1464
Rb4 0.7576 0.0000 0.8536
Ac1 0.2482 0.5000 0.4011
Ac2 0.2518 0.0000 0.5989
Ac3 0.7482 0.0000 0.4011
Ac4 0.7518 0.5000 0.5989
Pd1 0.2481 0.0000 0.3874
Pd2 0.2519 0.5000 0.6126
Pd3 0.7481 0.5000 0.3874
Pd4 0.7519 0.0000 0.6126

[8]
Material: LiLa2Sn2
Method: DFT, PBE
State: relaxed

- crystal system = tetragonal
- SG = No. 127
- calculated formation energy (eV per atom) = -0.663
- Fermi-level density of states (states/eV/atom) = 0.53

abc: 7.9723 7.9723 4.7694
angles: 90.00 90.00 90.00
Fractional positions:
Li1 0.0000 0.0000 0.0000
Li2 0.5000 0.5000 0.0000
La1 0.1722 0.3278 0.5000
La2 0.3278 0.8278 0.5000
La3 0.6722 0.1722 0.5000
La4 0.8278 0.6722 0.5000
Sn1 0.1307 0.6307 0.0000
Sn2 0.3693 0.1307 0.0000
Sn3 0.6307 0.8693 0.0000
Sn4 0.8693 0.3693 0.0000